## Cd2RuBr (GGA-PBE)

Data for a geometry-optimized Cd2RuBr structure.

abc: 3.156 3.156 10.490
angles: 90.00 90.00 122.98
Element x y z (fractional)
Br (0.500, 0.500, 0.692)
Cd (0.500, 0.500, 0.283)
Cd (0.000, 0.000, 0.019)
Ru (0.000, 0.000, 0.506)

Formation energy without anion corrections (eV per atom): 0.386
Electronic total energy (eV/atom): -2.809
Space-group type: No. 35
Offset from the most stable computed form (kcal/mol of atoms): 5.06